Material: LiMgSi2
Method: DFT, PBE
State: optimized geometry

The energy relative to the elements, uncorrected comes out at 78 meV per atom. The magnetic moment comes out at 0.0 μB per formula unit.

Unit cell a=3.4570 b=3.4570 c=5.5025 alpha=90.00 beta=90.00 gamma=90.00
Closest atoms and distances in Å follow each position.
Space group P4mm (No. 99)
One atom of each set of equivalent atoms:
1 Li 0.0000 0.0000 0.0000 (multiplicity 1)  1 Si 2.48
2 Mg 0.5000 0.5000 0.2684 (multiplicity 1)  6 Si 2.63-2.89, 4 Li 2.86
3 Si 0.0000 0.0000 0.5492 (multiplicity 1)  1 Li 2.48, 4 Si 2.68
4 Si 0.5000 0.5000 0.7467 (multiplicity 1)  2 Mg 2.63-2.87, 4 Si 2.68, 4 Li 2.81

***

Material: Cd2NiHRh
Method: DFT, PBE
State: optimized geometry

The calculation puts the energy above the most stable polymorph in this dataset at 0 meV per atom. The magnetic moment comes out at 0.0 μB per formula unit.

Unit cell a=4.6593 b=4.6593 c=3.1662 alpha=90.00 beta=90.00 gamma=90.00
Closest atoms and distances in Å follow each position.
Space group P4/mmm (No. 123)
One atom of each set of equivalent atoms:
1 Cd 0.0000 0.5000 0.0000 (multiplicity 2)  2 H 2.33
2 Ni 0.0000 0.0000 0.5000 (multiplicity 1)  2 H 1.58
3 H 0.0000 0.0000 0.0000 (multiplicity 1)  2 Ni 1.58
4 Rh 0.5000 0.5000 0.5000 (multiplicity 1)  8 Cd 2.82

***

Material: CrMoS3
Method: DFT, PBE
State: optimized geometry

The energy relative to the elements, uncorrected comes out at 252 meV per atom. The calculation puts the energy above the most stable polymorph in this dataset at 0 meV per atom. The magnetic moment comes out at 4.7 μB per formula unit.

Unit cell a=4.6819 b=4.6819 c=4.6819 alpha=90.00 beta=90.00 gamma=90.00
Closest atoms and distances in Å follow each position.
Space group Pm-3m (No. 221)
One atom of each set of equivalent atoms:
1 Cr 0.0000 0.0000 0.0000 (multiplicity 1)  12 S 3.31
2 Mo 0.5000 0.5000 0.5000 (multiplicity 1)  6 S 2.34
3 S 0.0000 0.5000 0.5000 (multiplicity 3)  2 Mo 2.34

***

Material: CePbO
Method: DFT, PBE
State: optimized geometry

The energy relative to the elements, uncorrected comes out at -1829 meV per atom. The calculation puts the energy above the most stable polymorph in this dataset at 60 meV per atom. The magnetic moment comes out at 0.3 μB per formula unit.

Unit cell a=3.8294 b=3.8294 c=5.8143 alpha=90.00 beta=90.00 gamma=120.00
Closest atoms and distances in Å follow each position.
Space group P-6m2 (No. 187)
One atom of each set of equivalent atoms:
1 Ce 0.0000 0.0000 0.0000 (multiplicity 1)  3 O 2.21
2 Pb 0.3333 0.6667 0.5000 (multiplicity 1)  6 Ce 3.65, 6 O 3.65, 6 Pb 3.83
3 O 0.6667 0.3333 0.0000 (multiplicity 1)  3 Ce 2.21

***

Material: Mn2NbAu
Method: DFT, PBE
State: optimized geometry

The calculation puts the energy above the most stable polymorph in this dataset at 728 meV per atom. The value obtained for the formation energy is 0.728 eV/atom. The magnetic moment comes out at 0.0 μB per formula unit.

Unit cell a=3.8461 b=3.8461 c=17.7631 alpha=90.00 beta=90.00 gamma=90.00
Closest atoms and distances in Å follow each position.
Space group I-42d (No. 122)
One atom of each set of equivalent atoms:
1 Mn 0.1593 0.2500 0.1250 (multiplicity 8)  2 Mn 2.28, 2 Nb 2.50
2 Nb 0.0000 0.0000 0.0000 (multiplicity 4)  4 Mn 2.50, 4 Au 2.72
3 Au 0.0000 0.0000 0.5000 (multiplicity 4)  4 Nb 2.72, 4 Mn 2.75

***

Material: RbZnTeCl6
Method: DFT, PBE
State: optimized geometry

The energy relative to the elements, uncorrected comes out at -1030 meV per atom. The magnetic moment comes out at 1.0 μB per formula unit.

Unit cell a=6.4779 b=7.1760 c=7.6494 alpha=83.50 beta=65.25 gamma=80.42
Closest atoms and distances in Å follow each position.
Space group P1 (No. 1)
One atom of each set of equivalent atoms:
1 Rb 0.0000 0.0000 0.0000 (multiplicity 1)  7 Cl 3.36-3.67
2 Zn 0.3332 0.3454 0.2727 (multiplicity 1)  4 Cl 2.25-2.36
3 Te 0.7190 0.4967 0.6128 (multiplicity 1)  2 Cl 2.41-2.42
4 Cl 0.0693 0.1989 0.5502 (multiplicity 1)  1 Zn 2.36
5 Cl 0.1492 0.6410 0.2642 (multiplicity 1)  1 Zn 2.26
6 Cl 0.4497 0.1737 0.0108 (multiplicity 1)  1 Zn 2.25
7 Cl 0.4607 0.7769 0.5988 (multiplicity 1)  1 Te 2.42
8 Cl 0.6634 0.3286 0.3273 (multiplicity 1)  1 Zn 2.33
9 Cl 0.8159 0.6137 0.8479 (multiplicity 1)  1 Te 2.41

***

DFT total energy across the listed records, respectively: -0.2580 -0.2654 -0.4642 -0.4921 -0.5287 -0.2101 Ry per atom.